No. 1
4
Lattice="5.5977 0.0000 0.0000 2.7989 4.8478 0.0000 2.7989 1.6159 4.5705" Properties=species:S:1:pos:R:3 comment="BaLiNdZn (PBE-GGA, relaxed)" crystal_system=cubic formation_enthalpy_0k_ev_per_atom=0.0363 magmom_total_mub_per_cell=0.00 spacegroup="F-43m (216)" total_energy_ev_per_cell=-9.7 pbc="T T T"
Ba 2.7989 1.6159 1.1426
Li 5.5977 3.2318 2.2853
Nd 8.3966 4.8478 3.4279
Zn 0.0000 0.0000 0.0000

No. 2
5
Lattice="-0.8687 -4.3997 3.4593 1.1480 -3.5664 -4.2476 5.6224 0.0510 1.4767" Properties=species:S:1:pos:R:3 comment="LaCdSbI2 (PBE-GGA, relaxed)" formation_energy_uncorrected_kcal_per_mol_atoms=-4.87 crystal_system=tetragonal magmom_total_mub_per_cell=0.18 spacegroup="P4/mmm (123)" total_energy_ev_per_cell=-14.1 pbc="T T T"
I 0.5740 -1.7832 -2.1238
I -0.4343 -2.1998 1.7297
La 2.9508 -3.9575 0.3442
Sb 2.8112 0.0255 0.7384
Cd 0.0000 0.0000 0.0000

No. 3
4
Lattice="1.5796 -1.5014 5.7975 -3.9185 1.1154 4.6648 -2.8302 -4.7085 2.8600" Properties=species:S:1:pos:R:3 comment="Rb2GaBr (PBE-GGA, relaxed)" formation_energy_uncorrected_kcal_per_mol_atoms=-9.72 crystal_system=cubic magmom_total_mub_per_cell=2.00 spacegroup="Fm-3m (225)" total_energy_ev_per_cell=-8.3 pbc="T T T"
Rb -3.8768 -3.8209 9.9917
Rb -1.2923 -1.2736 3.3306
Ga 0.0000 0.0000 0.0000
Br -2.5846 -2.5472 6.6612

No. 4
8
Lattice="-3.7721 2.8518 -2.7376 1.5391 -2.4258 -4.6478 -4.8991 -3.9213 -2.7875" Properties=species:S:1:pos:R:3 comment="Pb2CO (PBE-GGA, relaxed)" formation_energy_uncorrected_kcal_per_mol_atoms=11.27 crystal_system=tetragonal magmom_total_mub_per_cell=0.00 spacegroup="I-42d (122)" total_energy_ev_per_cell=-39.3 pbc="T T T"
O 0.0000 0.0000 0.0000
C -1.1165 0.2130 -3.6927
Pb -4.5067 -2.7890 -4.8752
O -4.8938 -0.4282 -4.6089
Pb -3.3777 0.4896 -2.9800
Pb -0.7465 -2.1307 -3.9528
Pb -5.6331 -2.5603 -8.5379
C -2.2382 -3.0670 -5.5640